YTlN2O | PBE | relaxed

```
YTlN2O
1.0
4.7341 0.0000 0.0000
0.0000 4.7341 0.0000
0.0000 0.0000 4.3880
Y Tl O N
1 1 1 2
Direct
0.0000 0.0000 0.0000 Y
0.5000 0.5000 0.5000 Tl
0.0000 0.0000 0.5000 O
0.0000 0.5000 0.0000 N
0.5000 0.0000 0.0000 N
```

Calculated values
Electronic total energy: -29.59 eV/cell
DOS(E_F): 2.7 states/eV/f.u.
ΔE_f (raw): 0.17 eV per atom
Space group: P4/mmm, No. 123
Total moment: 4.00 Bohr magnetons per cell